Record 1
First-principles (GGA-PBE) data for ScIBr3 after structural relaxation, as listed in Alexandria.

a b c (Å): 7.2705 7.2705 7.2705
angles (deg): 66.89 66.89 66.89
Last column: nearest neighbours and their distance in Å.
Fractional coordinates of all 10 atoms:
I1 0.2180 0.2180 0.2180  1 Sc 2.92
I2 0.7180 0.7180 0.7180  1 Sc 2.92
Sc1 0.0442 0.0442 0.0442  3 Br 2.60
Sc2 0.5442 0.5442 0.5442  3 Br 2.60
Br1 0.2050 0.7565 0.7580  1 Sc 2.60
Br2 0.2565 0.7050 0.2580  1 Sc 2.60
Br3 0.2580 0.2565 0.7050  1 Sc 2.60
Br4 0.7050 0.2580 0.2565  1 Sc 2.60
Br5 0.7565 0.7580 0.2050  1 Sc 2.60
Br6 0.7580 0.2050 0.7565  1 Sc 2.60

Values from the calculation:
Relative energy among the computed polymorphs in eV per atom: 0.356
Final energy in eV per atom: -3.5611

---

Record 2
First-principles (GGA-PBE) data for Tb7Pr2Sm after structural relaxation, as listed in Alexandria.

a b c (Å): 3.5184 14.9224 14.9225
angles (deg): 154.52 90.00 90.00
Last column: nearest neighbours and their distance in Å.
Fractional coordinates of all 10 atoms:
Tb1 0.0000 0.8144 0.1856  6 Tb 3.49-3.52, 6 Pr 3.60-3.78
Tb2 0.0000 0.1856 0.8144  6 Tb 3.49-3.52, 6 Pr 3.60-3.78
Tb3 0.5000 0.1484 0.3449  7 Tb 3.25-3.52, 1 Pr 3.56
Tb4 0.5000 0.8516 0.6551  7 Tb 3.25-3.52, 1 Pr 3.56
Tb5 0.5000 0.3449 0.1484  7 Tb 3.25-3.52, 1 Pr 3.56
Tb6 0.5000 0.6551 0.8516  7 Tb 3.25-3.52, 1 Pr 3.56
Tb7 0.5000 0.5000 0.5000  6 Tb 3.31-3.52
Pr1 0.5000 0.7064 0.2936  2 Pr 3.52, 8 Tb 3.56-3.78
Pr2 0.5000 0.2936 0.7064  2 Pr 3.52, 8 Tb 3.56-3.78
Sm1 0.0000 0.0000 0.0000  2 Sm 3.52, 12 Tb 3.73

Values from the calculation:
Relative energy among the computed polymorphs in eV per atom: 0.142
Final energy in eV per atom: -4.5107
Energy relative to the elements in eV/atom: 0.158

---

Record 3
First-principles (GGA-PBE) data for Sr5Tl after structural relaxation, as listed in Alexandria.

a b c (Å): 7.0945 7.0945 6.4486
angles (deg): 90.00 90.00 120.00
Last column: nearest neighbours and their distance in Å.
Fractional coordinates of all 6 atoms:
Sr1 0.6877 0.0000 0.0000  10 Sr 3.84-4.23, 2 Tl 3.91
Sr2 0.3123 0.3123 0.0000  10 Sr 3.84-4.23, 2 Tl 3.91
Sr3 0.0000 0.6877 0.0000  10 Sr 3.84-4.23, 2 Tl 3.91
Sr4 0.6667 0.3333 0.5000  9 Sr 4.05-4.10, 3 Tl 4.10
Sr5 0.3333 0.6667 0.5000  9 Sr 4.05-4.10, 3 Tl 4.10
Tl1 0.0000 0.0000 0.5000  12 Sr 3.91-4.10

Values from the calculation:
Relative energy among the computed polymorphs in eV per atom: 0.105
Final energy in eV per atom: -1.8318
Energy relative to the elements in eV/atom: -0.036

---

Record 4
First-principles (GGA-PBE) data for CrCdIn2 after structural relaxation, as listed in Alexandria.

a b c (Å): 5.4599 5.4599 5.4599
angles (deg): 132.98 132.98 68.69
Last column: nearest neighbours and their distance in Å.
Fractional coordinates of all 4 atoms:
Cd1 0.5000 0.5000 0.0000  8 In 3.08-3.13, 4 Cr 3.13
Cr1 0.7500 0.2500 0.5000  8 In 3.08-3.13, 4 Cd 3.13
In1 0.0000 0.0000 0.0000  4 Cd 3.08, 4 Cr 3.13, 4 In 3.13
In2 0.2500 0.7500 0.5000  4 Cr 3.08, 4 In 3.13, 4 Cd 3.13

Values from the calculation:
Final energy in eV per atom: -3.7325
Energy relative to the elements in eV/atom: 0.271